BaIr: optimized geometry, PBE-GGA.

Calculated values
- symmetry = P-6m2 (187)
- VASP energy (Ry/atom) = -0.34157

Unit cell a=3.7253 b=3.7253 c=4.6564 alpha=90.00 beta=90.00 gamma=120.00
Last column: nearest neighbours and their distance in Å.
Element x y z (fractional)
1 Ba 0.0000 0.0000 0.0000  6 Ir 3.17
2 Ir 0.6667 0.3333 0.5000  6 Ba 3.17